# 1
Computed, not measured: a relaxed NbTeBrN2 crystal at the PBE level of DFT.

Cell: 4.0914 4.0914 5.1911 Å, 90.00 90.00 90.00°
With the nearest neighbours (Å) after each atom.
Space group P4/mmm (No. 123)
Inequivalent atoms, fractional coordinates:
1 Nb 0.0000 0.0000 0.0000 (multiplicity 1)  2 Br 2.60, 4 Te 2.89
2 Te 0.5000 0.5000 0.0000 (multiplicity 1)  4 Nb 2.89
3 Br 0.0000 0.0000 0.5000 (multiplicity 1)  4 N 2.05
4 N 0.0000 0.5000 0.5000 (multiplicity 2)  2 Br 2.05

* uncorrected formation energy: 2.0971 eV per atom
* E above lowest polymorph: 1685 meV/atom

# 2
Computed, not measured: a relaxed TiNbBr2N crystal at the PBE level of DFT.

Cell: 5.2959 5.2959 3.7167 Å, 90.00 90.00 90.00°
With the nearest neighbours (Å) after each atom.
Space group P4/mmm (No. 123)
Inequivalent atoms, fractional coordinates:
1 Ti 0.0000 0.0000 0.0000 (multiplicity 1)  2 N 1.86
2 Nb 0.5000 0.5000 0.5000 (multiplicity 1)  8 Br 3.23
3 Br 0.0000 0.5000 0.0000 (multiplicity 2)  2 Ti 2.65
4 N 0.0000 0.0000 0.5000 (multiplicity 1)  2 Ti 1.86

* uncorrected formation energy: 0.2314 eV per atom

# 3
Computed, not measured: a relaxed Nb2VBrN crystal at the PBE level of DFT.

Cell: 4.0697 4.0697 5.4481 Å, 90.00 90.00 90.00°
With the nearest neighbours (Å) after each atom.
Space group P4/mmm (No. 123)
Inequivalent atoms, fractional coordinates:
1 Nb 0.0000 0.5000 0.0000 (multiplicity 2)  2 N 2.03
2 V 0.0000 0.0000 0.5000 (multiplicity 1)  4 Br 2.88
3 Br 0.5000 0.5000 0.5000 (multiplicity 1)  2 N 2.72, 4 V 2.88
4 N 0.5000 0.5000 0.0000 (multiplicity 1)  4 Nb 2.03

* uncorrected formation energy: 0.5414 eV per atom

# 4
Computed, not measured: a relaxed Nd4Br2N crystal at the PBE level of DFT.

Cell: 4.8229 4.8229 18.7320 Å, 90.00 90.00 90.00°
With the nearest neighbours (Å) after each atom.
Space group I4/mmm (No. 139)
Inequivalent atoms, fractional coordinates:
1 Nd 0.0000 0.0000 0.1403 (multiplicity 4)  1 N 2.63
2 Nd 0.0000 0.5000 0.0000 (multiplicity 4)  2 N 2.41
3 Br 0.0000 0.0000 0.3036 (multiplicity 4)  1 Nd 3.06
4 N 0.0000 0.0000 0.0000 (multiplicity 2)  6 Nd 2.41-2.63

* uncorrected formation energy: -0.6228 eV per atom

# 5
Computed, not measured: a relaxed Nd3Br3N crystal at the PBE level of DFT.

Cell: 8.4902 3.8463 11.4601 Å, 90.00 92.45 90.00°
With the nearest neighbours (Å) after each atom.
Space group P2_1/m (No. 11)
Inequivalent atoms, fractional coordinates:
1 Nd 0.0852 0.2500 0.3962 (multiplicity 2)  3 N 2.52-2.58
2 Nd 0.1217 0.2500 0.8317 (multiplicity 2)  1 N 2.47
3 Nd 0.3108 0.7500 0.6214 (multiplicity 2)  2 N 2.53
4 Br 0.1407 0.2500 0.1232 (multiplicity 2)  4 Nd 3.01-3.34
5 Br 0.3810 0.7500 0.3656 (multiplicity 2)  5 Nd 3.02-3.25
6 Br 0.3829 0.7500 0.8763 (multiplicity 2)  3 Nd 2.96
7 N 0.1176 0.2500 0.6159 (multiplicity 2)  6 Nd 2.47-2.58

* uncorrected formation energy: -1.5477 eV per atom

# 6
Computed, not measured: a relaxed Nd2Br2N crystal at the PBE level of DFT.

Cell: 6.6245 3.8251 11.3424 Å, 90.00 102.49 90.00°
With the nearest neighbours (Å) after each atom.
Space group C2/m (No. 12)
Inequivalent atoms, fractional coordinates:
1 Nd 0.2124 0.0000 0.1235 (multiplicity 4)  3 N 2.60
2 Br 0.0536 0.0000 0.6947 (multiplicity 4)  3 Nd 2.99
3 N 0.0000 0.5000 0.0000 (multiplicity 2)  6 Nd 2.60

* uncorrected formation energy: -1.6401 eV per atom

# 7
Computed, not measured: a relaxed Nd2Br2N crystal at the PBE level of DFT.

Cell: 21.4487 4.0377 7.7036 Å, 90.00 96.47 90.00°
With the nearest neighbours (Å) after each atom.
Space group C2/m (No. 12)
Inequivalent atoms, fractional coordinates:
1 Nd 0.1724 0.0000 0.3554 (multiplicity 4)  1 N 2.21
2 Nd 0.1822 0.5000 0.9368 (multiplicity 4)  3 N 2.33-2.43
3 Br 0.0788 0.5000 0.2055 (multiplicity 4)  3 Nd 2.99-3.20
4 Br 0.1057 0.0000 0.6931 (multiplicity 4)  3 Nd 3.10-3.11
5 N 0.2115 0.0000 0.1017 (multiplicity 4)  4 Nd 2.21-2.43

* uncorrected formation energy: -1.5455 eV per atom

# 8
Computed, not measured: a relaxed Nd2BrN crystal at the PBE level of DFT.

Cell: 3.7275 3.7275 22.1416 Å, 90.00 90.00 120.00°
With the nearest neighbours (Å) after each atom.
Space group R3m (No. 160, hexagonal axes)
Inequivalent atoms, fractional coordinates:
1 Nd 0.0000 0.0000 0.0000 (multiplicity 3)  3 N 2.56
2 Nd 0.0000 0.0000 0.2131 (multiplicity 3)  3 N 2.51
3 Br 0.0000 0.0000 0.7733 (multiplicity 3)  6 Nd 3.19-3.20
4 N 0.0000 0.0000 0.6044 (multiplicity 3)  6 Nd 2.51-2.56

* uncorrected formation energy: -1.3848 eV per atom

# 9
Computed, not measured: a relaxed Nd3BrN2 crystal at the PBE level of DFT.

Cell: 3.7177 3.7177 20.5875 Å, 90.00 90.00 120.00°
With the nearest neighbours (Å) after each atom.
Space group P6_3/mmc (No. 194)
Inequivalent atoms, fractional coordinates:
1 Nd 0.0000 0.0000 0.0000 (multiplicity 2)  6 N 2.66
2 Nd 0.3333 0.6667 0.1335 (multiplicity 4)  3 N 2.45
3 Br 0.0000 0.0000 0.2500 (multiplicity 2)  6 Nd 3.22
4 N 0.3333 0.6667 0.5766 (multiplicity 4)  6 Nd 2.45-2.66

* uncorrected formation energy: -1.3999 eV per atom

Respective total moment values: 0.00; 0.68; 0.02; 0.14; 0.00; 0.00; 0.07; 0.00; 0.00 μB/atom.
Respective calculated total energy values: -21.0; -28.5; -36.5; -70.2; -77.0; -58.8; -115.7; -75.2; -82.1 eV for the cell shown.